# Th2CdPd6 (GGA-PBE, optimized geometry)
# - DOS at the Fermi energy: 2.60 states/eV per cell
# - Total magnetization: 0.0000 μB/atom
# - ΔE_f: -702 meV per atom
# - E_tot: -53.23 eV per cell
data_Th2CdPd6
_space_group_name_H-M_alt 'P -3 m 1'
_space_group_IT_number 164
_space_group_name_Hall '-P 3 2"'
_cell_length_a 5.8061
_cell_length_b 5.8061
_cell_length_c 6.2594
_cell_angle_alpha 90.00
_cell_angle_beta 90.00
_cell_angle_gamma 120.00
loop_
_atom_site_label
_atom_site_fract_x
_atom_site_fract_y
_atom_site_fract_z
_atom_site_occupancy
Th1 0.3333 0.6667 0.2645 1
Cd1 0.0000 0.0000 0.5000 1
Pd1 0.1742 0.3484 0.8242 1

***

# Li2BRuBr (GGA-PBE, optimized geometry)
# - DOS at the Fermi energy: 2.05 states/eV per cell
# - Total magnetization: 0.1893 μB/atom
# - Formation energy (no corrections): 0.41 eV/atom
# - E_tot: -19.38 eV per cell
data_Li2BRuBr
_space_group_name_H-M_alt 'P 4/m m m'
_space_group_IT_number 123
_space_group_name_Hall '-P 4 2'
_cell_length_a 5.1831
_cell_length_b 5.1831
_cell_length_c 3.8830
_cell_angle_alpha 90.00
_cell_angle_beta 90.00
_cell_angle_gamma 90.00
loop_
_atom_site_label
_atom_site_fract_x
_atom_site_fract_y
_atom_site_fract_z
_atom_site_occupancy
Li1 0.0000 0.5000 0.0000 1
B1 0.0000 0.0000 0.5000 1
Ru1 0.0000 0.0000 0.0000 1
Br1 0.5000 0.5000 0.5000 1

***

# LiThFe2H8 (GGA-PBE, optimized geometry)
# - DOS at the Fermi energy: 2.95 states/eV per cell
# - Total magnetization: 0.1566 μB/atom
# - E_tot: -51.87 eV per cell
data_LiThFe2H8
_space_group_name_H-M_alt 'P -3 m 1'
_space_group_IT_number 164
_space_group_name_Hall '-P 3 2"'
_cell_length_a 4.5083
_cell_length_b 4.5083
_cell_length_c 6.5365
_cell_angle_alpha 90.00
_cell_angle_beta 90.00
_cell_angle_gamma 120.00
loop_
_atom_site_label
_atom_site_fract_x
_atom_site_fract_y
_atom_site_fract_z
_atom_site_occupancy
Li1 0.0000 0.0000 0.0000 1
Th1 0.0000 0.0000 0.5000 1
Fe1 0.3333 0.6667 0.8036 1
H1 0.1373 0.2746 0.7981 1
H2 0.3333 0.6667 0.5606 1

***

# Tc2HgPt (GGA-PBE, optimized geometry)
# - DOS at the Fermi energy: 5.57 states/eV per cell
# - Total magnetization: 0.4783 μB/atom
# - ΔE_f: 499 meV per atom
# - E_tot: -100.31 eV per cell
data_Tc2HgPt
_space_group_name_H-M_alt 'F -4 3 m'
_space_group_IT_number 216
_space_group_name_Hall 'F -4 2 3'
_cell_length_a 6.4248
_cell_length_b 6.4248
_cell_length_c 6.4248
_cell_angle_alpha 90.00
_cell_angle_beta 90.00
_cell_angle_gamma 90.00
loop_
_atom_site_label
_atom_site_fract_x
_atom_site_fract_y
_atom_site_fract_z
_atom_site_occupancy
Tc1 0.0000 0.0000 0.0000 1
Tc2 0.2500 0.2500 0.2500 1
Hg1 0.0000 0.0000 0.5000 1
Pt1 0.2500 0.2500 0.7500 1